# Cr2CoIr

Crystalline Cr2CoIr at its relaxed geometry (PBE-GGA, the Alexandria database).

## Properties
The calculation puts the energy of formation from the pure elements at 0.10 eV per formula unit. For the density of states at the Fermi level, the calculation gives 1.277 states/eV/atom. The raw total energy is -70.2 eV for the cell shown.

a = 8.568 Å, b = 2.628 Å, c = 4.387 Å
α = 90.00°, β = 100.37°, γ = 90.00°
Space group C2/m (No. 12)
Unique sites:
1 Cr 0.247 0.000 0.236
2 Co 0.000 0.500 0.000
3 Ir 0.000 0.000 0.500

# Cr2Co2Ir

Crystalline Cr2Co2Ir at its relaxed geometry (PBE-GGA, the Alexandria database).

## Properties
The calculation puts the energy of formation from the pure elements at 0.18 eV per formula unit. For the density of states at the Fermi level, the calculation gives 0.957 states/eV/atom. The raw total energy is -84.3 eV for the cell shown. The relative energy among the computed polymorphs comes out at 0 meV/atom.

a = 6.673 Å, b = 6.673 Å, c = 2.636 Å
α = 90.00°, β = 90.00°, γ = 90.00°
Space group P4/mbm (No. 127)
Unique sites:
1 Cr 0.174 0.326 0.000
2 Co 0.124 0.624 0.500
3 Ir 0.000 0.000 0.500

# Cr2CoIr

Crystalline Cr2CoIr at its relaxed geometry (PBE-GGA, the Alexandria database).

## Properties
The calculation puts the energy of formation from the pure elements at 0.01 eV per formula unit. For the density of states at the Fermi level, the calculation gives 1.181 states/eV/atom. The raw total energy is -70.4 eV for the cell shown.

a = 8.444 Å, b = 2.619 Å, c = 4.494 Å
α = 90.00°, β = 100.47°, γ = 90.00°
Space group Cm (No. 8)
Unique sites:
1 Cr 0.000 0.000 0.000
2 Cr 0.245 0.000 0.721
3 Co 0.242 0.500 0.196
4 Ir 0.495 0.000 0.486

# Cr2CoIr

Crystalline Cr2CoIr at its relaxed geometry (PBE-GGA, the Alexandria database).

## Properties
The calculation puts the energy of formation from the pure elements at -0.17 eV per formula unit. For the density of states at the Fermi level, the calculation gives 1.152 states/eV/atom. The raw total energy is -70.8 eV for the cell shown.

a = 3.669 Å, b = 3.669 Å, c = 7.274 Å
α = 90.00°, β = 90.00°, γ = 90.00°
Space group I-4m2 (No. 119)
Unique sites:
1 Cr 0.000 0.000 0.000
2 Cr 0.000 0.500 0.250
3 Co 0.000 0.000 0.500
4 Ir 0.000 0.500 0.750

# Cr4CoIr3

Crystalline Cr4CoIr3 at its relaxed geometry (PBE-GGA, the Alexandria database).

## Properties
The calculation puts the energy of formation from the pure elements at -1.06 eV per formula unit. For the density of states at the Fermi level, the calculation gives 1.009 states/eV/atom. The raw total energy is -146.5 eV for the cell shown.

a = 3.736 Å, b = 3.736 Å, c = 14.702 Å
α = 90.00°, β = 90.00°, γ = 90.00°
Space group I4/mmm (No. 139)
Unique sites:
1 Cr 0.000 0.500 0.122
2 Co 0.000 0.000 0.000
3 Ir 0.000 0.000 0.248
4 Ir 0.000 0.000 0.500

# CrCoIr

Crystalline CrCoIr at its relaxed geometry (PBE-GGA, the Alexandria database).

## Properties
The calculation puts the energy of formation from the pure elements at -0.13 eV per formula unit. For the density of states at the Fermi level, the calculation gives 1.361 states/eV/atom. The raw total energy is -25.7 eV for the cell shown. The relative energy among the computed polymorphs comes out at 23 meV/atom.

a = 4.0313 Å, b = 4.0313 Å, c = 2.6236 Å
α = 90.00°, β = 90.00°, γ = 120.00°
Space group P-6m2 (No. 187)
Unique sites:
1 Cr 0.0000 0.0000 0.0000
2 Co 0.3333 0.6667 0.0000
3 Ir 0.6667 0.3333 0.5000

# Cr2CoIr

Crystalline Cr2CoIr at its relaxed geometry (PBE-GGA, the Alexandria database).

## Properties
The calculation puts the energy of formation from the pure elements at -0.31 eV per formula unit. For the density of states at the Fermi level, the calculation gives 1.042 states/eV/atom. The raw total energy is -35.5 eV for the cell shown.

a = 2.624 Å, b = 4.106 Å, c = 4.509 Å
α = 90.00°, β = 90.00°, γ = 90.00°
Space group Pmm2 (No. 25)
Unique sites:
1 Cr 0.000 0.000 0.000
2 Cr 0.000 0.500 0.329
3 Co 0.500 0.000 0.469
4 Ir 0.500 0.500 0.827

# Cr3CoIr12

Crystalline Cr3CoIr12 at its relaxed geometry (PBE-GGA, the Alexandria database).

## Properties
The calculation puts the energy of formation from the pure elements at -2.56 eV per formula unit. For the density of states at the Fermi level, the calculation gives 1.054 states/eV/atom. The raw total energy is -144.9 eV for the cell shown.

a = 3.816 Å, b = 3.816 Å, c = 15.269 Å
α = 90.00°, β = 90.00°, γ = 90.00°
Space group P4/mmm (No. 123)
Unique sites:
1 Cr 0.000 0.000 0.000
2 Cr 0.000 0.000 0.253
3 Co 0.000 0.000 0.500
4 Ir 0.000 0.500 0.125
5 Ir 0.000 0.500 0.374
6 Ir 0.500 0.500 0.000
7 Ir 0.500 0.500 0.250
8 Ir 0.500 0.500 0.500

# Cr2CoIr

Crystalline Cr2CoIr at its relaxed geometry (PBE-GGA, the Alexandria database).

## Properties
The calculation puts the energy of formation from the pure elements at 2.09 eV per formula unit. For the density of states at the Fermi level, the calculation gives 1.551 states/eV/atom. The raw total energy is -132.5 eV for the cell shown.

a = 3.575 Å, b = 3.575 Å, c = 16.552 Å
α = 90.00°, β = 90.00°, γ = 90.00°
Space group I-42d (No. 122)
Unique sites:
1 Cr 0.208 0.250 0.125
2 Co 0.000 0.000 0.000
3 Ir 0.000 0.000 0.500

# Cr2CoIr

Crystalline Cr2CoIr at its relaxed geometry (PBE-GGA, the Alexandria database).

## Properties
The calculation puts the energy of formation from the pure elements at -0.19 eV per formula unit. For the density of states at the Fermi level, the calculation gives 0.874 states/eV/atom. The raw total energy is -70.8 eV for the cell shown.

a = 5.128 Å, b = 7.297 Å, c = 2.606 Å
α = 90.00°, β = 90.00°, γ = 90.00°
Space group Cmmm (No. 65)
Unique sites:
1 Cr 0.250 0.250 0.000
2 Co 0.000 0.000 0.500
3 Ir 0.000 0.500 0.500

# CrCo3Ir12

Crystalline CrCo3Ir12 at its relaxed geometry (PBE-GGA, the Alexandria database).

## Properties
The calculation puts the energy of formation from the pure elements at -0.49 eV per formula unit. For the density of states at the Fermi level, the calculation gives 1.046 states/eV/atom. The raw total energy is -137.8 eV for the cell shown.

a = 3.799 Å, b = 3.799 Å, c = 15.244 Å
α = 90.00°, β = 90.00°, γ = 90.00°
Space group P4/mmm (No. 123)
Unique sites:
1 Cr 0.000 0.000 0.000
2 Co 0.000 0.000 0.255
3 Co 0.000 0.000 0.500
4 Ir 0.000 0.500 0.124
5 Ir 0.000 0.500 0.375
6 Ir 0.500 0.500 0.000
7 Ir 0.500 0.500 0.250
8 Ir 0.500 0.500 0.500

# CrCoIr

Crystalline CrCoIr at its relaxed geometry (PBE-GGA, the Alexandria database).

## Properties
The calculation puts the energy of formation from the pure elements at 0.84 eV per formula unit. For the density of states at the Fermi level, the calculation gives 0.579 states/eV/atom. The raw total energy is -99.0 eV for the cell shown. The relative energy among the computed polymorphs comes out at 346 meV/atom.

a = 5.527 Å, b = 5.527 Å, c = 5.527 Å
α = 90.00°, β = 90.00°, γ = 90.00°
Space group F-43m (No. 216)
Unique sites:
1 Cr 0.000 0.000 0.000
2 Co 0.250 0.250 0.250
3 Ir 0.250 0.250 0.750

# Cr3CoIr4

Crystalline Cr3CoIr4 at its relaxed geometry (PBE-GGA, the Alexandria database).

## Properties
The calculation puts the energy of formation from the pure elements at -1.26 eV per formula unit. For the density of states at the Fermi level, the calculation gives 1.142 states/eV/atom. The raw total energy is -145.4 eV for the cell shown.

a = 3.792 Å, b = 3.792 Å, c = 14.590 Å
α = 90.00°, β = 90.00°, γ = 90.00°
Space group I4/mmm (No. 139)
Unique sites:
1 Cr 0.000 0.000 0.000
2 Cr 0.000 0.000 0.252
3 Co 0.000 0.000 0.500
4 Ir 0.000 0.500 0.126

# Cr2CoIr

Crystalline Cr2CoIr at its relaxed geometry (PBE-GGA, the Alexandria database).

## Properties
The calculation puts the energy of formation from the pure elements at 0.48 eV per formula unit. For the density of states at the Fermi level, the calculation gives 1.422 states/eV/atom. The raw total energy is -104.2 eV for the cell shown.

a = 2.6124 Å, b = 2.6124 Å, c = 25.0095 Å
α = 90.00°, β = 90.00°, γ = 120.00°
Space group R-3m (No. 166, hexagonal axes)
Unique sites:
1 Cr 0.0000 0.0000 0.2465
2 Co 0.0000 0.0000 0.5000
3 Ir 0.0000 0.0000 0.0000